(a)
Computed, not measured: DyHoPd after structural relaxation at the PBE level of DFT.

Lattice parameters (Å, degrees): 4.7812 4.7812 3.7575 90.00 90.00 120.00
Space group P3m1 (No. 156)
Inequivalent atoms, fractional coordinates:
Dy 0.0000 0.0000 0.0000 [1 per cell]
Ho 0.3333 0.6667 0.5367 [1 per cell]
Pd 0.6667 0.3333 0.2769 [1 per cell]

Summary:
Its density of states at the Fermi level is 2.71 states/eV/cell.

---

(b)
Computed, not measured: DyHoPd after structural relaxation at the PBE level of DFT.

Lattice parameters (Å, degrees): 6.8934 6.8934 6.8934 90.00 90.00 90.00
Space group F-43m (No. 216)
Inequivalent atoms, fractional coordinates:
Dy 0.0000 0.0000 0.0000 [4 per cell]
Ho 0.0000 0.0000 0.5000 [4 per cell]
Pd 0.2500 0.2500 0.2500 [4 per cell]

Summary:
Its density of states at the Fermi level is 13.13 states/eV/cell.

---

Which one sits at the bottom of the stability order? (a) does.

---

(a)
Computed, not measured: DyHo4Pd2 after structural relaxation at the PBE level of DFT.

Lattice parameters (Å, degrees): 3.9099 3.9099 45.3956 90.00 90.00 120.00
Space group R-3m (No. 166, hexagonal axes)
Inequivalent atoms, fractional coordinates:
Dy 0.0000 0.0000 0.0000 [3 per cell]
Ho 0.0000 0.0000 0.1979 [6 per cell]
Ho 0.0000 0.0000 0.3952 [6 per cell]
Pd 0.0000 0.0000 0.0986 [6 per cell]

Summary:
Its density of states at the Fermi level is 27.47 states/eV/cell.

---

(b)
Computed, not measured: DyHo4Pd2 after structural relaxation at the PBE level of DFT.

Lattice parameters (Å, degrees): 7.8026 6.3407 8.0818 90.00 112.75 90.00
Space group P2_1/m (No. 11)
Inequivalent atoms, fractional coordinates:
Dy 0.1550 0.2500 0.0259 [2 per cell]
Ho 0.0208 0.2500 0.3918 [2 per cell]
Ho 0.2456 0.7500 0.3480 [2 per cell]
Ho 0.4074 0.0043 0.7709 [4 per cell]
Pd 0.2374 0.7500 0.9911 [2 per cell]
Pd 0.3821 0.2500 0.4191 [2 per cell]

Summary:
Its density of states at the Fermi level is 16.72 states/eV/cell.

---

Which one sits at the bottom of the stability order? (a) does.

---

(a)
Computed, not measured: Dy2Ho3Pd2 after structural relaxation at the PBE level of DFT.

Lattice parameters (Å, degrees): 12.3399 3.7011 9.0441 90.00 116.82 90.00
Space group C2/m (No. 12)
Inequivalent atoms, fractional coordinates:
Dy 0.1571 0.0000 0.3130 [4 per cell]
Ho 0.0000 0.5000 0.5000 [2 per cell]
Ho 0.1134 0.5000 0.9401 [4 per cell]
Pd 0.1705 0.0000 0.7360 [4 per cell]

Summary:
Its density of states at the Fermi level is 16.92 states/eV/cell.

---

(b)
Computed, not measured: Dy2Ho3Pd2 after structural relaxation at the PBE level of DFT.

Lattice parameters (Å, degrees): 3.6907 6.5709 8.3254 84.24 77.29 73.76
Space group P-1 (No. 2)
Inequivalent atoms, fractional coordinates:
Dy 0.1127 0.1496 0.1252 [2 per cell]
Ho 0.3435 0.6009 0.2118 [2 per cell]
Ho 0.5000 0.0000 0.5000 [1 per cell]
Pd 0.1409 0.6461 0.5727 [2 per cell]

Summary:
Its density of states at the Fermi level is 8.56 states/eV/cell.

---

Which one sits at the bottom of the stability order? (b) does.

---

(a)
Computed, not measured: DyHo3Pd3 after structural relaxation at the PBE level of DFT.

Lattice parameters (Å, degrees): 9.8330 9.8330 6.0125 90.00 90.00 120.00
Space group R-3m (No. 166, hexagonal axes)
Inequivalent atoms, fractional coordinates:
Dy 0.0000 0.0000 0.0000 [3 per cell]
Ho 0.0000 0.5000 0.0000 [9 per cell]
Pd 0.0000 0.5000 0.5000 [9 per cell]

Summary:
Its density of states at the Fermi level is 17.70 states/eV/cell.

---

(b)
Computed, not measured: DyHo3Pd3 after structural relaxation at the PBE level of DFT.

Lattice parameters (Å, degrees): 9.1745 10.4073 7.0744 90.00 92.06 90.00
Space group C2/m (No. 12)
Inequivalent atoms, fractional coordinates:
Dy 0.2374 0.0000 0.3770 [4 per cell]
Ho 0.0000 0.2498 0.5000 [4 per cell]
Ho 0.0000 0.3232 0.0000 [4 per cell]
Ho 0.1526 0.0000 0.8656 [4 per cell]
Pd 0.0618 0.5000 0.3069 [4 per cell]
Pd 0.2422 0.2453 0.2211 [8 per cell]

Summary:
Its density of states at the Fermi level is 19.82 states/eV/cell.

---

Which one sits at the bottom of the stability order? (b) does.

---

(a)
Computed, not measured: DyHo3Pd after structural relaxation at the PBE level of DFT.

Lattice parameters (Å, degrees): 11.5177 8.4416 7.8811 90.00 128.83 90.00
Space group C2/m (No. 12)
Inequivalent atoms, fractional coordinates:
Dy 0.0732 0.0000 0.2749 [4 per cell]
Ho 0.0405 0.5000 0.3135 [4 per cell]
Ho 0.2089 0.1991 0.7424 [8 per cell]
Pd 0.2321 0.0000 0.0843 [4 per cell]

Summary:
Its density of states at the Fermi level is 30.65 states/eV/cell.

---

(b)
Computed, not measured: DyHo3Pd after structural relaxation at the PBE level of DFT.

Lattice parameters (Å, degrees): 4.9185 4.9302 23.7952 90.00 90.00 90.00
Space group Imma (No. 74)
Inequivalent atoms, fractional coordinates:
Dy 0.0000 0.2500 0.1963 [4 per cell]
Ho 0.0000 0.2500 0.0539 [4 per cell]
Ho 0.0000 0.2500 0.5535 [4 per cell]
Ho 0.0000 0.2500 0.6958 [4 per cell]
Pd 0.0000 0.2500 0.8756 [4 per cell]

Summary:
Its density of states at the Fermi level is 28.18 states/eV/cell.

---

Which one sits at the bottom of the stability order? (b) does.

---

(a)
Computed, not measured: DyHo2Pd2 after structural relaxation at the PBE level of DFT.

Lattice parameters (Å, degrees): 3.8468 13.6237 9.6880 90.00 90.00 90.00
Space group Cmc2_1 (No. 36)
Inequivalent atoms, fractional coordinates:
Dy 0.0000 0.1022 0.0000 [4 per cell]
Ho 0.0000 0.1819 0.3656 [4 per cell]
Ho 0.0000 0.3938 0.1586 [4 per cell]
Pd 0.0000 0.2623 0.6517 [4 per cell]
Pd 0.0000 0.4699 0.8783 [4 per cell]

Summary:
Its density of states at the Fermi level is 17.33 states/eV/cell.

---

(b)
Computed, not measured: DyHo2Pd2 after structural relaxation at the PBE level of DFT.

Lattice parameters (Å, degrees): 7.7765 7.7765 3.9380 90.00 90.00 90.00
Space group P4/mbm (No. 127)
Inequivalent atoms, fractional coordinates:
Dy 0.0000 0.0000 0.0000 [2 per cell]
Ho 0.1645 0.3355 0.5000 [4 per cell]
Pd 0.1329 0.6329 0.0000 [4 per cell]

Summary:
Its density of states at the Fermi level is 8.52 states/eV/cell.

---

Which one sits at the bottom of the stability order? (a) does.

---

(a)
Computed, not measured: DyHoPd4 after structural relaxation at the PBE level of DFT.

Lattice parameters (Å, degrees): 4.1052 30.5848 3.9111 90.00 90.00 90.00
Space group Cmmm (No. 65)
Inequivalent atoms, fractional coordinates:
Dy 0.0000 0.2019 0.0000 [4 per cell]
Ho 0.0000 0.4318 0.5000 [4 per cell]
Pd 0.0000 0.0000 0.5000 [2 per cell]
Pd 0.0000 0.1341 0.5000 [4 per cell]
Pd 0.0000 0.2847 0.5000 [4 per cell]
Pd 0.0000 0.3633 0.0000 [4 per cell]
Pd 0.0000 0.5000 0.0000 [2 per cell]

Summary:
Its density of states at the Fermi level is 10.14 states/eV/cell.

---

(b)
Computed, not measured: DyHoPd4 after structural relaxation at the PBE level of DFT.

Lattice parameters (Å, degrees): 7.6917 7.6917 7.6917 90.00 90.00 90.00
Space group F-43m (No. 216)
Inequivalent atoms, fractional coordinates:
Dy 0.0000 0.0000 0.0000 [4 per cell]
Ho 0.2500 0.2500 0.2500 [4 per cell]
Pd 0.1250 0.1250 0.6250 [16 per cell]

Summary:
Its density of states at the Fermi level is 13.60 states/eV/cell.

---

Which one sits at the bottom of the stability order? (a) does.

---

(a)
Computed, not measured: DyHoPdRh after structural relaxation at the PBE level of DFT.

Lattice parameters (Å, degrees): 3.4517 3.4517 6.9438 90.00 90.00 90.00
Space group P4mm (No. 99)
Inequivalent atoms, fractional coordinates:
Dy 0.0000 0.0000 0.0000 [1 per cell]
Ho 0.0000 0.0000 0.4825 [1 per cell]
Pd 0.5000 0.5000 0.7391 [1 per cell]
Rh 0.5000 0.5000 0.2427 [1 per cell]

Summary:
Its density of states at the Fermi level is 1.85 states/eV/cell.

---

(b)
Computed, not measured: DyHoPdRh after structural relaxation at the PBE level of DFT.

Lattice parameters (Å, degrees): 6.9168 6.9168 6.9168 90.00 90.00 90.00
Space group F-43m (No. 216)
Inequivalent atoms, fractional coordinates:
Dy 0.0000 0.0000 0.0000 [4 per cell]
Ho 0.0000 0.0000 0.5000 [4 per cell]
Pd 0.2500 0.2500 0.2500 [4 per cell]
Rh 0.2500 0.2500 0.7500 [4 per cell]

Summary:
Its density of states at the Fermi level is 7.05 states/eV/cell.

---

Which one sits at the bottom of the stability order? (b) does.

---

(a)
Computed, not measured: DyHoZnPd after structural relaxation at the PBE level of DFT.

Lattice parameters (Å, degrees): 7.0574 7.0574 7.0574 90.00 90.00 90.00
Space group F-43m (No. 216)
Inequivalent atoms, fractional coordinates:
Dy 0.0000 0.0000 0.0000 [4 per cell]
Ho 0.0000 0.0000 0.5000 [4 per cell]
Zn 0.2500 0.2500 0.2500 [4 per cell]
Pd 0.2500 0.2500 0.7500 [4 per cell]

Summary:
Its density of states at the Fermi level is 9.50 states/eV/cell.

---

(b)
Computed, not measured: DyHoZnPd after structural relaxation at the PBE level of DFT.

Lattice parameters (Å, degrees): 3.5462 3.5462 6.9755 90.00 90.00 90.00
Space group P4mm (No. 99)
Inequivalent atoms, fractional coordinates:
Dy 0.0000 0.0000 0.0000 [1 per cell]
Ho 0.0000 0.0000 0.4913 [1 per cell]
Zn 0.5000 0.5000 0.7439 [1 per cell]
Pd 0.5000 0.5000 0.2483 [1 per cell]

Summary:
Its density of states at the Fermi level is 2.90 states/eV/cell.

---

Which one sits at the bottom of the stability order? (a) does.

---

(a)
Computed, not measured: PmDy4Ho2 after structural relaxation at the PBE level of DFT.

Lattice parameters (Å, degrees): 6.0792 6.5614 11.5150 90.00 104.12 90.00
Space group P2_1/m (No. 11)
Inequivalent atoms, fractional coordinates:
Pm 0.0368 0.2500 0.3607 [2 per cell]
Dy 0.1481 0.2500 0.6619 [2 per cell]
Dy 0.2834 0.7500 0.9251 [2 per cell]
Dy 0.3492 0.5076 0.2109 [4 per cell]
Ho 0.1544 0.2500 0.9476 [2 per cell]
Ho 0.3975 0.7500 0.5064 [2 per cell]

Summary:
Its density of states at the Fermi level is 23.77 states/eV/cell.

---

(b)
Computed, not measured: PmDy4Ho2 after structural relaxation at the PBE level of DFT.

Lattice parameters (Å, degrees): 16.6505 3.5230 8.7291 90.00 119.36 90.00
Space group C2/m (No. 12)
Inequivalent atoms, fractional coordinates:
Pm 0.0000 0.0000 0.0000 [2 per cell]
Dy 0.1412 0.5000 0.8334 [4 per cell]
Dy 0.2050 0.5000 0.2940 [4 per cell]
Ho 0.0704 0.0000 0.4301 [4 per cell]

Summary:
Its density of states at the Fermi level is 20.92 states/eV/cell.

---

Which one sits at the bottom of the stability order? (a) does.

---

(a)
Computed, not measured: PmDyHo2 after structural relaxation at the PBE level of DFT.

Lattice parameters (Å, degrees): 3.6370 11.3622 6.2673 90.00 90.00 90.00
Space group Imm2 (No. 44)
Inequivalent atoms, fractional coordinates:
Pm 0.0000 0.0000 0.0000 [2 per cell]
Dy 0.0000 0.5000 0.9975 [2 per cell]
Ho 0.0000 0.2486 0.6648 [4 per cell]

Summary:
Its density of states at the Fermi level is 14.01 states/eV/cell.

---

(b)
Computed, not measured: PmDyHo2 after structural relaxation at the PBE level of DFT.

Lattice parameters (Å, degrees): 8.0260 8.0260 8.0260 90.00 90.00 90.00
Space group Fm-3m (No. 225)
Inequivalent atoms, fractional coordinates:
Pm 0.0000 0.0000 0.0000 [4 per cell]
Dy 0.0000 0.0000 0.5000 [4 per cell]
Ho 0.2500 0.2500 0.2500 [8 per cell]

Summary:
Its density of states at the Fermi level is 34.70 states/eV/cell.

---

Which one sits at the bottom of the stability order? (b) does.

---

(a)
Computed, not measured: PmDyHo2 after structural relaxation at the PBE level of DFT.

Lattice parameters (Å, degrees): 3.5607 3.5607 34.7656 90.00 90.00 120.00
Space group R-3m (No. 166, hexagonal axes)
Inequivalent atoms, fractional coordinates:
Pm 0.0000 0.0000 0.0000 [3 per cell]
Dy 0.0000 0.0000 0.5000 [3 per cell]
Ho 0.0000 0.0000 0.2490 [6 per cell]

Summary:
Its density of states at the Fermi level is 15.78 states/eV/cell.

---

(b)
Computed, not measured: PmDyHo2 after structural relaxation at the PBE level of DFT.

Lattice parameters (Å, degrees): 13.0487 3.5493 11.4319 90.00 93.98 90.00
Space group C2/m (No. 12)
Inequivalent atoms, fractional coordinates:
Pm 0.1328 0.0000 0.0200 [4 per cell]
Dy 0.1330 0.5000 0.5001 [4 per cell]
Ho 0.0086 0.5000 0.7724 [4 per cell]
Ho 0.2322 0.0000 0.7439 [4 per cell]

Summary:
Its density of states at the Fermi level is 26.16 states/eV/cell.

---

Which one sits at the bottom of the stability order? (b) does.